(i)
First-principles (PBE) data for a geometry-optimized TmNb structure, as listed in OQMD via LeMat-Bulk.

```
TmNb
1.0
3.1942 0.0000 0.0000
-1.5971 2.7662 0.0000
0.0000 0.0000 5.1790
Nb Tm
1 1
Direct
0.6667 0.3333 0.7500
0.3333 0.6667 0.2500
```

- Symmetry: P-6m2, No. 187
- Crystal system: hexagonal

***

(ii)
First-principles (PBE) data for a geometry-optimized TmNb structure, as listed in OQMD via LeMat-Bulk.

```
TmNb
1.0
3.5595 0.0000 0.0000
0.0000 3.5595 0.0000
0.0000 0.0000 3.5595
Nb Tm
1 1
Direct
0.0000 0.0000 0.0000
0.5000 0.5000 0.5000
```

- Symmetry: Pm-3m, No. 221
- Crystal system: cubic

***

Stability ranking, top entry: (i); the second entry is 102 meV per atom less favorable.

***

(i)
First-principles (PBE) data for a geometry-optimized NaTmCdS3 structure, as listed in OQMD via LeMat-Bulk.

```
NaTmCdS3
1.0
-2.1757 11.2854 -8.2130
2.1495 -1.6938 -2.8968
-9.1551 -4.7062 -4.0415
S Cd Na Tm
12 4 4 4
Direct
0.9284 0.2500 0.1316
0.0716 0.7500 0.8684
0.4284 0.2500 0.3684
0.9113 0.7500 0.4162
0.0887 0.2500 0.5838
0.8474 0.2500 0.7231
0.6526 0.7500 0.2231
0.5887 0.2500 0.9162
0.5716 0.7500 0.6316
0.4113 0.7500 0.0838
0.1526 0.7500 0.2769
0.3474 0.2500 0.7769
0.4582 0.2500 0.6004
0.5418 0.7500 0.3996
0.0418 0.7500 0.1004
0.9582 0.2500 0.8996
0.2173 0.7500 0.6926
0.7173 0.7500 0.8074
0.2827 0.2500 0.1926
0.7827 0.2500 0.3074
0.4664 0.7500 0.8563
0.0336 0.2500 0.3563
0.9664 0.7500 0.6437
0.5336 0.2500 0.1437
```

- Symmetry: Pnma, No. 62
- Crystal system: orthorhombic

***

(ii)
First-principles (PBE) data for a geometry-optimized NaTmCdS3 structure, as listed in OQMD via LeMat-Bulk.

```
NaTmCdS3
1.0
3.9860 0.0000 0.0000
1.9930 6.6359 0.0000
0.0000 0.0000 10.6564
S Na Cd Tm
6 2 2 2
Direct
0.3657 0.2686 0.5508
0.3657 0.2686 0.9492
0.6343 0.7314 0.0508
0.6343 0.7314 0.4492
0.9193 0.1613 0.2500
0.0807 0.8387 0.7500
0.2580 0.4840 0.2500
0.7420 0.5160 0.7500
0.5398 0.9204 0.2500
0.4602 0.0796 0.7500
0.0000 0.0000 0.0000
0.0000 0.0000 0.5000
```

- Symmetry: Cmcm, No. 63
- Crystal system: orthorhombic

***

Stability ranking, top entry: (i); the second entry is 51 meV per atom less favorable.

***

(i)
First-principles (PBE) data for a geometry-optimized GdZnNO structure, as listed in OQMD via LeMat-Bulk.

```
GdZnNO
1.0
5.0611 0.0000 0.0000
0.0000 5.6647 0.0000
0.0000 0.0000 7.8714
O Zn N Gd
4 4 4 4
Direct
0.6140 0.6036 0.4097
0.6140 0.1036 0.5903
0.1140 0.8964 0.4097
0.1140 0.3964 0.5903
0.0106 0.0564 0.6190
0.0106 0.5564 0.3810
0.5106 0.4436 0.6190
0.5106 0.9436 0.3810
0.5487 0.5531 0.8603
0.0487 0.4469 0.1397
0.0487 0.9469 0.8603
0.5487 0.0531 0.1397
0.5291 0.9612 0.8504
0.0291 0.0388 0.1496
0.0291 0.5388 0.8504
0.5291 0.4612 0.1496
```

- Symmetry: Pca2_1, No. 29
- Crystal system: orthorhombic

***

(ii)
First-principles (PBE) data for a geometry-optimized GdZnNO structure, as listed in OQMD via LeMat-Bulk.

```
GdZnNO
1.0
3.0205 1.4461 1.5781
-1.8529 -1.2671 4.7076
2.7632 -5.3785 -0.3601
Zn N Gd O
2 2 2 2
Direct
0.5000 0.4795 0.8033
0.5000 0.9795 0.1967
0.0000 0.9250 0.3254
0.0000 0.4250 0.6746
0.0000 0.4735 0.3013
0.0000 0.9735 0.6987
0.5000 0.3760 0.1309
0.5000 0.8760 0.8691
```

- Symmetry: Pmc2_1, No. 26
- Crystal system: orthorhombic

***

Stability ranking, top entry: (ii); the second entry is 30 meV per atom less favorable.

***

(i)
First-principles (PBE) data for a geometry-optimized PmAgSeO structure, as listed in OQMD via LeMat-Bulk.

```
PmAgSeO
1.0
-2.8677 2.9456 1.3636
-3.2041 -1.0083 -4.5600
-3.2981 -4.7721 3.3726
O Pm Ag Se
2 2 2 2
Direct
0.5000 0.9486 0.6762
0.5000 0.0514 0.1762
0.5000 0.2502 0.4652
0.5000 0.7498 0.9652
0.0000 0.8324 0.5947
0.0000 0.1676 0.0947
0.0000 0.6038 0.2549
0.0000 0.3962 0.7549
```

- Symmetry: Pmc2_1, No. 26
- Crystal system: orthorhombic

***

(ii)
First-principles (PBE) data for a geometry-optimized PmAgSeO structure, as listed in OQMD via LeMat-Bulk.

```
PmAgSeO
1.0
-4.8282 0.2819 -3.0427
-3.0160 -1.3545 4.6603
-0.8094 9.1327 2.1306
Pm O Ag Se
4 4 4 4
Direct
0.0000 0.0000 0.8767
0.5000 0.5000 0.8767
0.0000 0.5000 0.1238
0.5000 0.0000 0.1238
0.2494 0.2506 0.0003
0.2506 0.7506 0.0003
0.7494 0.2494 0.0003
0.7506 0.7494 0.0003
0.2305 0.2695 0.4986
0.7305 0.2305 0.4986
0.2695 0.7695 0.4986
0.7695 0.7305 0.4986
0.0000 0.0000 0.2960
0.5000 0.0000 0.7057
0.0000 0.5000 0.7057
0.5000 0.5000 0.2960
```

- Symmetry: P4bm, No. 100
- Crystal system: tetragonal

***

Stability ranking, top entry: (ii); the second entry is 381 meV per atom less favorable.